[1]
The following is a PBE-GGA calculation of crystalline ZrCu2Os at its relaxed geometry, from OQMD via LeMat-Bulk.

Calculated values
* E_form: 30 kJ/mol of formula units
* space group: No. 216

```
ZrCu2Os
1.0
0.0000 3.1262 3.1262
3.1262 0.0000 3.1262
3.1262 3.1262 0.0000
Zr Cu Os
1 2 1
direct
0.0000 0.0000 0.0000
0.2500 0.2500 0.2500
0.5000 0.5000 0.5000
0.7500 0.7500 0.7500
```

***

[2]
The following is a PBE-GGA calculation of crystalline Zr5CuOs4 at its relaxed geometry, from OQMD via LeMat-Bulk.

Calculated values
* E_form: -435 kJ/mol of formula units
* space group: No. 123

```
Zr5CuOs4
1.0
3.2653 0.0000 0.0000
0.0000 3.2653 0.0000
0.0000 0.0000 16.6203
Zr Cu Os
5 1 4
direct
0.0000 0.0000 0.0000
0.0000 0.0000 0.1995
0.0000 0.0000 0.3990
0.0000 0.0000 0.6010
0.0000 0.0000 0.8005
0.5000 0.5000 0.5000
0.5000 0.5000 0.0999
0.5000 0.5000 0.2999
0.5000 0.5000 0.7001
0.5000 0.5000 0.9001
```

***

[3]
The following is a PBE-GGA calculation of crystalline CuP at its relaxed geometry, from OQMD via LeMat-Bulk.

Calculated values
* space group: No. 216

```
CuP
1.0
0.0000 2.5962 2.5962
2.5962 0.0000 2.5962
2.5962 2.5962 0.0000
Cu P
1 1
direct
0.0000 0.0000 0.0000
0.7500 0.7500 0.7500
```

***

[4]
The following is a PBE-GGA calculation of crystalline CuP2 at its relaxed geometry, from OQMD via LeMat-Bulk.

Calculated values
* space group: No. 33

```
CuP2
1.0
8.3728 0.0000 0.0000
0.0000 5.1421 0.0000
0.0000 0.0000 5.0287
Cu P
4 8
direct
0.1495 0.0792 0.0000
0.3505 0.5792 0.5000
0.6495 0.4208 0.0000
0.8505 0.9208 0.5000
0.0017 0.2649 0.6654
0.1310 0.3961 0.3120
0.3690 0.8961 0.8120
0.4983 0.7649 0.1654
0.5017 0.2351 0.6654
0.6310 0.1039 0.3120
0.8690 0.6039 0.8120
0.9983 0.7351 0.1654
```

***

[5]
The following is a PBE-GGA calculation of crystalline Cu4P13 at its relaxed geometry, from OQMD via LeMat-Bulk.

Calculated values
* space group: No. 12

```
Cu4P13
1.0
9.2108 -1.7647 0.0000
9.2108 1.7647 0.0000
-1.3911 0.0000 8.3639
Cu P
4 13
direct
0.0805 0.0805 0.4354
0.3378 0.3378 0.9402
0.6622 0.6622 0.0598
0.9195 0.9195 0.5646
0.0542 0.0542 0.9537
0.1695 0.1695 0.7119
0.2119 0.2119 0.4813
0.2706 0.2706 0.1485
0.4007 0.4007 0.7316
0.4810 0.4810 0.2145
0.5000 0.5000 0.5000
0.5190 0.5190 0.7855
0.5993 0.5993 0.2684
0.7294 0.7294 0.8515
0.7881 0.7881 0.5187
0.8305 0.8305 0.2881
0.9458 0.9458 0.0463
```

***

[6]
The following is a PBE-GGA calculation of crystalline Cu3P11 at its relaxed geometry, from OQMD via LeMat-Bulk.

Calculated values
* space group: No. 8

```
Cu3P11
1.0
6.3332 -3.6394 0.0000
6.3332 3.6394 0.0000
-3.1304 0.0000 5.5118
Cu P
3 11
direct
0.0000 0.0000 0.0000
0.2924 0.2924 0.5702
0.5850 0.5850 0.3924
0.0632 0.5945 0.4203
0.0849 0.0849 0.4272
0.2755 0.7692 0.5220
0.3347 0.8099 0.9125
0.4773 0.4773 0.9563
0.5945 0.0632 0.4203
0.6059 0.9173 0.0411
0.7692 0.2755 0.5220
0.8045 0.8045 0.6112
0.8099 0.3347 0.9125
0.9173 0.6059 0.0411
```

***

Computed VASP energy (eV per atom) in order:
-6.7247, -9.5860, -4.2695, -4.8764, -4.8407, -5.1296